(1)
A relaxed Ge3Rh2 crystal. Source: Alexandria, functional PBE.

a b c (Å): 6.5626 6.5626 9.2004
angles (deg): 121.42 121.42 29.73
Positions (direct):
Ge  0.0824  0.0824  0.3145
Ge  0.3845  0.3845  0.9632
Ge  0.3927  0.3927  0.3657
Ge  0.6073  0.6073  0.6343
Ge  0.6155  0.6155  0.0368
Ge  0.9176  0.9176  0.6855
Rh  0.1479  0.1479  0.8592
Rh  0.2535  0.2535  0.6343
Rh  0.7465  0.7465  0.3657
Rh  0.8521  0.8521  0.1408

Computed properties:
Formation enthalpy at 0 K   -423 meV per atom
Polymorph energy (0 for the lowest one)   0.00 eV per formula unit
DFT total energy   -6.134 eV per atom
Magnetization   0.00 μB/f.u.

---

(2)
A relaxed GeRu2Rh crystal. Source: Alexandria, functional PBE.

a b c (Å): 6.7009 6.7009 6.7009
angles (deg): 131.00 131.00 71.81
Positions (direct):
Ge  0.0000  0.0000  0.0000
Ge  0.7500  0.2500  0.5000
Ru  0.1282  0.6250  0.0032
Ru  0.3750  0.3782  0.5032
Ru  0.6218  0.1250  0.9968
Ru  0.8750  0.8718  0.4968
Rh  0.2500  0.7500  0.5000
Rh  0.5000  0.5000  0.0000

Computed properties:
Formation enthalpy at 0 K   890 meV per atom
DFT total energy   -6.740 eV per atom
Magnetization   0.00 μB/f.u.

---

(3)
A relaxed GeRuRh2 crystal. Source: Alexandria, functional PBE.

a b c (Å): 6.8161 6.8161 6.8161
angles (deg): 132.76 132.76 69.04
Positions (direct):
Ge  0.0000  0.0000  0.0000
Ge  0.7500  0.2500  0.5000
Ru  0.2500  0.7500  0.5000
Ru  0.5000  0.5000  0.0000
Rh  0.1271  0.6250  0.0021
Rh  0.3750  0.3771  0.5021
Rh  0.6229  0.1250  0.9979
Rh  0.8750  0.8729  0.4979

Computed properties:
Formation enthalpy at 0 K   645 meV per atom
DFT total energy   -6.504 eV per atom
Magnetization   0.00 μB/f.u.

---

(4)
A relaxed Ge6Ru3Rh crystal. Source: Alexandria, functional PBE.

a b c (Å): 6.9944 6.9944 6.9944
angles (deg): 48.50 48.50 48.50
Positions (direct):
Ge  0.0014  0.3515  0.6471
Ge  0.1401  0.8553  0.5028
Ge  0.3515  0.6471  0.0014
Ge  0.5028  0.1401  0.8553
Ge  0.6471  0.0014  0.3515
Ge  0.8553  0.5028  0.1401
Ru  0.0823  0.0823  0.0823
Ru  0.4180  0.4180  0.4180
Ru  0.9185  0.9185  0.9185
Rh  0.5814  0.5814  0.5814

Computed properties:
Formation enthalpy at 0 K   -231 meV per atom
DFT total energy   -6.520 eV per atom
Magnetization   0.00 μB/f.u.

---

(5)
A relaxed Ge2Ru2Rh crystal. Source: Alexandria, functional PBE.

a b c (Å): 7.0733 7.0733 2.9047
angles (deg): 90.00 90.00 90.00
Positions (direct):
Ge  0.1511  0.3489  0.0000
Ge  0.3489  0.8489  0.0000
Ge  0.6511  0.1511  0.0000
Ge  0.8489  0.6511  0.0000
Ru  0.1485  0.6485  0.5000
Ru  0.3515  0.1485  0.5000
Ru  0.6485  0.8515  0.5000
Ru  0.8515  0.3515  0.5000
Rh  0.0000  0.0000  0.0000
Rh  0.5000  0.5000  0.0000

Computed properties:
Formation enthalpy at 0 K   -112 meV per atom
Polymorph energy (0 for the lowest one)   0.00 eV per formula unit
DFT total energy   -7.140 eV per atom
Magnetization   0.00 μB/f.u.

---

(6)
A relaxed Ge3RuRh crystal. Source: Alexandria, functional PBE.

a b c (Å): 4.6857 4.6857 4.6857
angles (deg): 90.00 90.00 90.00
Positions (direct):
Ge  0.0000  0.0000  0.5000
Ge  0.0000  0.5000  0.0000
Ge  0.5000  0.0000  0.0000
Ru  0.0000  0.0000  0.0000
Rh  0.5000  0.5000  0.5000

Computed properties:
Formation enthalpy at 0 K   587 meV per atom
Polymorph energy (0 for the lowest one)   0.00 eV per formula unit
DFT total energy   -5.509 eV per atom
Magnetization   0.00 μB/f.u.